Material: BaNa2Sn2Hg2
Method: DFT, PBE-GGA
State: relaxed

Output
Spin magnetization ... 0.0 Bohr magnetons per cell
Crystal system ... trigonal
Symmetry ... No. 166
Formation energy from the elements ... -388 meV/atom

Structure (POSCAR):
```
BaNa2Sn2Hg2
1.0
5.019 0.000 0.000
2.510 4.347 0.000
2.510 1.449 9.835
Sn Hg Ba Na
2 2 1 2
Direct
0.254 0.254 0.238
0.746 0.746 0.762
0.582 0.582 0.253
0.418 0.418 0.747
0.000 0.000 0.000
0.861 0.861 0.416
0.139 0.139 0.584
```